{"formula": "Tb2Sm3Sn4", "functional": "PBE-GGA", "state": "relaxed", "lattice_angstrom": [[7.9776, -1.2364, 0.0000], [-3.7909, 8.5176, 0.0000], [0.0000, 0.0000, 8.3807]], "species": ["Sm", "Sm", "Sm", "Sm", "Sm", "Sm", "Sn", "Sn", "Sn", "Sn", "Sn", "Sn", "Sn", "Sn", "Tb", "Tb", "Tb", "Tb"], "fractional_positions": [[0.1315, 0.1936, 0.6805], [0.5000, 0.5000, 0.0000], [0.8685, 0.8064, 0.3195], [0.6315, 0.1936, 0.8195], [0.0000, 0.5000, 0.5000], [0.3685, 0.8064, 0.1805], [0.7520, 0.9195, 0.9619], [0.8794, 0.5133, 0.1347], [0.1206, 0.4867, 0.8653], [0.2480, 0.0805, 0.0381], [0.3794, 0.5133, 0.3653], [0.6206, 0.4867, 0.6347], [0.7480, 0.0805, 0.4619], [0.2520, 0.9195, 0.5381], [0.9910, 0.7548, 0.8323], [0.5090, 0.2452, 0.3323], [0.0090, 0.2452, 0.1677], [0.4910, 0.7548, 0.6677]], "magnetic_moment_mub_per_atom": 0.000, "density_kg_m3": 7791, "energy_ev_per_atom": -5.149, "dos_at_fermi_per_ev_atom": 0.804}

***

{"formula": "Tb3Sm2Sn", "functional": "PBE-GGA", "state": "relaxed", "lattice_angstrom": [[4.9097, 0.0000, 0.0000], [0.0000, 4.6092, -1.5585], [0.0000, 0.1327, 7.9878]], "species": ["Sm", "Sm", "Tb", "Tb", "Tb", "Sn"], "fractional_positions": [[0.0000, 0.3394, 0.6788], [0.0000, 0.6606, 0.3212], [0.5000, 0.8352, 0.6704], [0.5000, 0.5000, 0.0000], [0.5000, 0.1648, 0.3296], [0.0000, 0.0000, 0.0000]], "magnetic_moment_mub_per_atom": 0.000, "density_kg_m3": 8187, "energy_ev_per_atom": -4.815, "dos_at_fermi_per_ev_atom": 1.110}

***

{"formula": "Tb8SmSn6", "functional": "PBE-GGA", "state": "relaxed", "lattice_angstrom": [[9.0930, 0.0000, 0.0000], [4.5465, 7.8747, 0.0000], [4.5465, 2.6249, 6.5058]], "species": ["Tb", "Tb", "Tb", "Tb", "Tb", "Tb", "Tb", "Tb", "Sm", "Sn", "Sn", "Sn", "Sn", "Sn", "Sn"], "fractional_positions": [[0.1064, 0.4374, 0.6822], [0.3331, 0.3331, 0.0006], [0.7740, 0.1064, 0.6822], [0.4374, 0.7740, 0.6822], [0.6669, 0.6669, 0.9994], [0.8936, 0.5626, 0.3178], [0.2260, 0.8936, 0.3178], [0.5626, 0.2260, 0.3178], [0.0000, 0.0000, 0.0000], [0.9327, 0.2685, 0.2024], [0.5965, 0.9327, 0.2024], [0.7315, 0.4035, 0.7976], [0.4035, 0.0673, 0.7976], [0.0673, 0.7315, 0.7976], [0.2685, 0.5965, 0.2024]], "magnetic_moment_mub_per_atom": 0.000, "density_kg_m3": 7607, "energy_ev_per_atom": -4.936, "dos_at_fermi_per_ev_atom": 0.659}

***

{"formula": "TbSm2Sn", "functional": "PBE-GGA", "state": "relaxed", "lattice_angstrom": [[3.4560, 0.0000, 0.0000], [0.0000, 5.5905, 0.0000], [-1.7280, 0.0000, 13.5405]], "species": ["Sm", "Sm", "Sm", "Sm", "Sn", "Sn", "Tb", "Tb"], "fractional_positions": [[0.9051, 0.2500, 0.8101], [0.8113, 0.7500, 0.6227], [0.1887, 0.2500, 0.3773], [0.0949, 0.7500, 0.1899], [0.3045, 0.2500, 0.6089], [0.6955, 0.7500, 0.3911], [0.0280, 0.2500, 0.0560], [0.9720, 0.7500, 0.9440]], "magnetic_moment_mub_per_atom": 0.000, "density_kg_m3": 7342, "energy_ev_per_atom": -4.571, "dos_at_fermi_per_ev_atom": 1.329}

***

Please write out number 4 again, unchanged.
{"formula": "TbSm2Sn", "functional": "PBE-GGA", "state": "relaxed", "lattice_angstrom": [[3.4560, 0.0000, 0.0000], [0.0000, 5.5905, 0.0000], [-1.7280, 0.0000, 13.5405]], "species": ["Sm", "Sm", "Sm", "Sm", "Sn", "Sn", "Tb", "Tb"], "fractional_positions": [[0.9051, 0.2500, 0.8101], [0.8113, 0.7500, 0.6227], [0.1887, 0.2500, 0.3773], [0.0949, 0.7500, 0.1899], [0.3045, 0.2500, 0.6089], [0.6955, 0.7500, 0.3911], [0.0280, 0.2500, 0.0560], [0.9720, 0.7500, 0.9440]], "magnetic_moment_mub_per_atom": 0.000, "density_kg_m3": 7342, "energy_ev_per_atom": -4.571, "dos_at_fermi_per_ev_atom": 1.329}